(1)
Sr2TcHO | PBE | relaxed

## Properties
DOS at the Fermi energy = 2.696 states/eV/cell
Size of the total moment = 0.65 Bohr magnetons per cell
Uncorrected energy = -4.39 eV/atom

Unit cell a=5.513 b=5.513 c=2.911 alpha=90.00 beta=90.00 gamma=90.00
Atoms (fractional coordinates):
Sr: 0.000 0.500 0.000
Sr: 0.500 0.000 0.000
Tc: 0.000 0.000 0.500
H: 0.500 0.500 0.500
O: 0.500 0.500 0.000

***

(2)
SrTeH2O4 | PBE | relaxed

## Properties
DOS at the Fermi energy = 0.000 states/eV/cell
Size of the total moment = 0.00 Bohr magnetons per cell
Excess energy over the best structure of this formula in the dataset = 0.00 kJ per mole of atoms

Unit cell a=7.944 b=7.243 c=8.378 alpha=90.00 beta=107.65 gamma=90.00
Atoms (fractional coordinates):
Sr: 0.104 0.136 0.340
Sr: 0.104 0.364 0.840
Sr: 0.896 0.636 0.160
Sr: 0.896 0.864 0.660
Te: 0.285 0.674 0.506
Te: 0.285 0.826 0.006
Te: 0.715 0.174 0.994
Te: 0.715 0.326 0.494
H: 0.305 0.048 0.712
H: 0.305 0.452 0.212
H: 0.489 0.070 0.671
H: 0.489 0.430 0.171
H: 0.511 0.570 0.829
H: 0.511 0.930 0.329
H: 0.695 0.548 0.788
H: 0.695 0.952 0.288
O: 0.065 0.701 0.949
O: 0.065 0.799 0.449
O: 0.196 0.025 0.854
O: 0.196 0.475 0.354
O: 0.286 0.572 0.715
O: 0.286 0.928 0.215
O: 0.358 0.066 0.618
O: 0.358 0.434 0.118
O: 0.642 0.566 0.882
O: 0.642 0.934 0.382
O: 0.714 0.072 0.785
O: 0.714 0.428 0.285
O: 0.804 0.525 0.646
O: 0.804 0.975 0.146
O: 0.935 0.201 0.551
O: 0.935 0.299 0.051

***

(3)
SrTeH2O4 | PBE | relaxed

## Properties
Size of the total moment = 0.00 Bohr magnetons per cell
Excess energy over the best structure of this formula in the dataset = 33.40 kJ per mole of atoms

Unit cell a=4.880 b=5.931 c=6.697 alpha=90.00 beta=90.00 gamma=90.00
Atoms (fractional coordinates):
Sr: 0.000 0.000 0.000
Sr: 0.500 0.500 0.500
Te: 0.000 0.000 0.500
Te: 0.500 0.500 0.000
H: 0.000 0.500 0.190
H: 0.000 0.500 0.810
H: 0.500 0.000 0.310
H: 0.500 0.000 0.690
O: 0.202 0.374 0.803
O: 0.202 0.626 0.197
O: 0.298 0.126 0.303
O: 0.298 0.874 0.697
O: 0.702 0.126 0.697
O: 0.702 0.874 0.303
O: 0.798 0.374 0.197
O: 0.798 0.626 0.803

***

(4)
Sr2TeH2O6 | PBE | relaxed

## Properties
Size of the total moment = 0.00 Bohr magnetons per cell
Uncorrected energy = -5.47 eV/atom

Unit cell a=6.029 b=6.029 c=6.029 alpha=51.61 beta=51.61 gamma=51.61
Atoms (fractional coordinates):
Sr: 0.226 0.226 0.226
Sr: 0.774 0.774 0.774
Te: 0.000 0.000 0.000
H: 0.404 0.404 0.404
H: 0.596 0.596 0.596
O: 0.247 0.247 0.735
O: 0.247 0.735 0.247
O: 0.265 0.753 0.753
O: 0.735 0.247 0.247
O: 0.753 0.265 0.753
O: 0.753 0.753 0.265